## Na3Ga5Br12 (PBE)

Data for a relaxed Na3Ga5Br12 crystal.

abc: 15.2159 15.2159 15.2159
angles: 109.47 109.47 109.47
Fractional positions:
Ga 0.7500 0.6250 0.3750
Ga 0.5000 0.0000 0.5000
Ga 0.5000 0.5000 0.5000
Ga 0.1250 0.3750 0.2500
Ga 0.5000 0.5000 0.0000
Ga 0.6250 0.7500 0.8750
Ga 0.0000 0.5000 0.5000
Ga 0.3750 0.1250 0.7500
Ga 0.2500 0.3750 0.6250
Ga 0.0000 0.5000 0.0000
Ga 0.1250 0.7500 0.3750
Ga 0.0000 0.0000 0.5000
Ga 0.8750 0.2500 0.6250
Ga 0.3750 0.2500 0.1250
Ga 0.5000 0.0000 0.0000
Ga 0.7500 0.1250 0.8750
Ga 0.6250 0.8750 0.2500
Ga 0.2500 0.8750 0.1250
Ga 0.0000 0.0000 0.0000
Ga 0.8750 0.6250 0.7500
Br 0.7830 0.4731 0.3734
Br 0.8734 0.2831 0.4731
Br 0.5269 0.3100 0.9004
Br 0.4731 0.7830 0.8734
Br 0.5996 0.9731 0.6900
Br 0.2170 0.6900 0.0904
Br 0.4004 0.3734 0.5904
Br 0.8734 0.5904 0.9004
Br 0.9096 0.0996 0.6266
Br 0.4096 0.1266 0.5996
Br 0.0269 0.4004 0.8100
Br 0.0996 0.1900 0.4731
Br 0.4731 0.6900 0.0996
Br 0.9004 0.0904 0.8734
Br 0.8100 0.9096 0.2831
Br 0.8100 0.9004 0.0269
Br 0.6900 0.4731 0.5996
Br 0.1266 0.7170 0.5269
Br 0.7170 0.5904 0.1900
Br 0.4004 0.0269 0.3100
Br 0.6266 0.5996 0.9096
Br 0.4096 0.2831 0.3100
Br 0.7830 0.3100 0.9096
Br 0.2831 0.4096 0.8100
Br 0.3734 0.9731 0.7830
Br 0.5996 0.6266 0.4096
Br 0.9731 0.3734 0.2831
Br 0.9096 0.8100 0.7830
Br 0.2831 0.8734 0.9731
Br 0.5904 0.8734 0.4004
Br 0.0904 0.9004 0.3734
Br 0.6900 0.2170 0.5904
Br 0.3100 0.7830 0.4096
Br 0.0269 0.6266 0.7170
Br 0.7170 0.1266 0.0269
Br 0.9731 0.5996 0.1900
Br 0.5904 0.7170 0.6900
Br 0.1900 0.0996 0.9731
Br 0.2170 0.5269 0.6266
Br 0.5269 0.2170 0.1266
Br 0.3734 0.4004 0.0904
Br 0.3100 0.5269 0.4004
Br 0.0996 0.9096 0.1266
Br 0.6266 0.0269 0.2170
Br 0.9004 0.8100 0.5269
Br 0.0904 0.1900 0.2170
Br 0.1266 0.4096 0.0996
Br 0.1900 0.0904 0.7170
Na 0.6250 0.3750 0.7500
Na 0.1250 0.8750 0.7500
Na 0.7500 0.8750 0.6250
Na 0.1250 0.2500 0.8750
Na 0.8750 0.1250 0.2500
Na 0.7500 0.3750 0.1250
Na 0.2500 0.6250 0.8750
Na 0.2500 0.1250 0.3750
Na 0.8750 0.7500 0.1250
Na 0.3750 0.6250 0.2500
Na 0.6250 0.2500 0.3750
Na 0.3750 0.7500 0.6250

Computed properties:
* symmetry: Ia-3d
* crystal system: cubic
* formation energy (no corrections): -845.3 meV per atom


## Na3GaBr4 (PBE)

Data for a relaxed Na3GaBr4 crystal.

abc: 6.0903 8.9234 10.2328
angles: 90.00 90.00 90.00
Fractional positions:
Ga 0.5647 0.8346 0.5000
Ga 0.0647 0.1654 0.0000
Br 0.5642 0.1801 0.5000
Br 0.0643 0.8372 0.5000
Br 0.5642 0.6603 0.7584
Br 0.0642 0.8199 0.0000
Br 0.5642 0.6603 0.2416
Br 0.0642 0.3397 0.7416
Br 0.0642 0.3397 0.2584
Br 0.5643 0.1628 0.0000
Na 0.5645 0.3340 0.2483
Na 0.5645 0.3340 0.7517
Na 0.5647 0.8312 0.0000
Na 0.0647 0.1688 0.5000
Na 0.0645 0.6660 0.2517
Na 0.0645 0.6660 0.7483

Computed properties:
* symmetry: Pmmn
* crystal system: orthorhombic
* formation energy (no corrections): -1267.3 meV per atom